(1)
The following is a DFT calculation (GGA-PBE) of an optimized crystal structure of LiCrAg2Sb.

Results
As for the total energy: -3.780 eV per atom. The calculation puts the calculated volume at 26.4 Å³ per atom. The formation energy (no corrections) comes out at 0.4927 eV/atom. The total magnetization comes out at 0.6385 μB per atom. As for the space group: P4/mmm.

```
LiCrAg2Sb
1.0
-0.355 0.392 5.130
-1.767 -4.623 0.231
4.805 -1.813 0.471
Li Sb Ag Cr
1 1 2 1
direct
0.500 0.500 0.500
0.000 0.500 0.000
0.000 0.000 0.500
0.500 0.000 0.000
0.000 0.000 0.000
```

=====

(2)
The following is a DFT calculation (GGA-PBE) of an optimized crystal structure of LiVCr2Ag.

Results
As for the total energy: -5.218 eV per atom. The calculation puts the calculated volume at 13.5 Å³ per atom. The total magnetization comes out at 0.0013 μB per atom. Its energy of formation is 1408 meV/atom. As for the space group: P4/mmm.

```
LiVCr2Ag
1.0
-2.405 1.481 -2.887
-1.578 -3.763 -0.616
-2.854 0.745 2.759
Cr Li V Ag
2 1 1 1
direct
0.500 0.000 0.000
0.000 0.000 0.500
0.000 0.000 0.000
0.000 0.500 0.000
0.500 0.500 0.500
```

=====

(3)
The following is a DFT calculation (GGA-PBE) of an optimized crystal structure of Lu2CrAg.

Results
As for the total energy: -5.343 eV per atom. The calculation puts the calculated volume at 22.1 Å³ per atom. The total magnetization comes out at 0.9265 μB per atom. Its energy of formation is 36 meV/atom. The polymorph energy (0 for the lowest one) comes out at 39.0 meV per atom. As for the space group: Fm-3m.

```
Lu2CrAg
1.0
-0.450 -2.647 4.215
2.076 -4.534 0.337
3.979 -0.714 2.939
Lu Ag Cr
2 1 1
direct
0.250 0.250 0.250
0.750 0.750 0.750
0.500 0.500 0.500
0.000 0.000 0.000
```

=====

(4)
The following is a DFT calculation (GGA-PBE) of an optimized crystal structure of Lu2CrAg.

Results
As for the total energy: -5.382 eV per atom. The calculation puts the calculated volume at 21.4 Å³ per atom. The total magnetization comes out at 0.6277 μB per atom. Its energy of formation is -3 meV/atom. The polymorph energy (0 for the lowest one) comes out at 0.0 meV per atom. As for the space group: P4/mmm.

```
Lu2CrAg
1.0
3.394 0.000 0.000
0.000 3.394 0.000
0.000 0.000 7.448
Lu Ag Cr
2 1 1
direct
0.000 0.000 0.768
0.000 0.000 0.232
0.500 0.500 0.500
0.500 0.500 0.000
```

=====

(5)
The following is a DFT calculation (GGA-PBE) of an optimized crystal structure of TmLuCrAg.

Results
As for the total energy: -5.327 eV per atom. The calculation puts the calculated volume at 22.3 Å³ per atom. The total magnetization comes out at 0.9261 μB per atom. Its energy of formation is 40 meV/atom. As for the space group: F-43m.

```
TmLuCrAg
1.0
-0.798 2.445 4.307
3.118 -0.660 3.874
3.088 3.700 1.393
Lu Ag Cr Tm
1 1 1 1
direct
0.000 0.000 0.000
0.250 0.250 0.250
0.750 0.750 0.750
0.500 0.500 0.500
```

=====

(6)
The following is a DFT calculation (GGA-PBE) of an optimized crystal structure of Mg2CrAg.

Results
As for the total energy: -3.748 eV per atom. The calculation puts the calculated volume at 18.8 Å³ per atom. The total magnetization comes out at 1.0954 μB per atom. Its energy of formation is 168 meV/atom. As for the space group: I-4m2.

```
Mg2CrAg
1.0
-2.365 -1.129 -4.532
-2.411 -4.643 0.199
-0.069 4.202 3.122
Mg Cr Ag
2 1 1
direct
0.750 0.250 0.500
0.000 0.000 0.000
0.250 0.750 0.500
0.500 0.500 0.000
```

=====

(7)
The following is a DFT calculation (GGA-PBE) of an optimized crystal structure of Mg2CrAg.

Results
As for the total energy: -3.471 eV per atom. The calculation puts the calculated volume at 20.7 Å³ per atom. The total magnetization comes out at 1.0264 μB per atom. Its energy of formation is 445 meV/atom. As for the space group: I-42d.

```
Mg2CrAg
1.0
7.565 0.000 0.000
0.000 7.565 0.000
3.783 3.783 2.889
Cr Mg Ag
2 4 2
direct
0.500 0.500 0.000
0.250 0.750 0.500
0.643 0.125 0.250
0.875 0.893 0.750
0.107 0.625 0.250
0.375 0.357 0.750
0.750 0.250 0.500
0.000 0.000 0.000
```

=====

(8)
The following is a DFT calculation (GGA-PBE) of an optimized crystal structure of Mg2CrAg.

Results
As for the total energy: -3.701 eV per atom. The calculation puts the calculated volume at 19.2 Å³ per atom. The total magnetization comes out at 1.0087 μB per atom. Its energy of formation is 215 meV/atom. As for the space group: P4mm.

```
Mg2CrAg
1.0
3.372 0.000 0.000
0.000 3.372 0.000
0.000 0.000 6.740
Mg Ag Cr
2 1 1
direct
0.500 0.500 0.276
0.000 0.000 0.980
0.000 0.000 0.508
0.500 0.500 0.736
```

=====

(9)
The following is a DFT calculation (GGA-PBE) of an optimized crystal structure of MgCrAg2.

Results
As for the total energy: -4.032 eV per atom. The calculation puts the calculated volume at 18.0 Å³ per atom. The total magnetization comes out at 1.0256 μB per atom. Its energy of formation is 198 meV/atom. As for the space group: Pmm2.

```
MgCrAg2
1.0
-0.608 1.393 -2.633
-0.493 -3.623 -1.804
-5.655 0.095 1.356
Ag Mg Cr
2 1 1
direct
0.000 0.000 0.992
0.500 0.500 0.262
0.500 0.500 0.758
0.000 0.000 0.488
```

=====

(10)
The following is a DFT calculation (GGA-PBE) of an optimized crystal structure of MgCrAg2.

Results
As for the total energy: -4.059 eV per atom. The calculation puts the calculated volume at 17.8 Å³ per atom. The total magnetization comes out at 0.9980 μB per atom. Its energy of formation is 171 meV/atom. As for the space group: P4/mmm.

```
MgCrAg2
1.0
3.338 0.039 0.000
-0.037 3.338 0.000
0.000 0.000 6.395
Mg Ag Cr
1 2 1
direct
0.500 0.500 0.750
0.000 0.000 0.004
0.000 0.000 0.496
0.500 0.500 0.250
```

=====

(11)
The following is a DFT calculation (GGA-PBE) of an optimized crystal structure of Mg2CrAg.

Results
As for the total energy: -3.687 eV per atom. The calculation puts the calculated volume at 18.9 Å³ per atom. The total magnetization comes out at 1.0085 μB per atom. Its energy of formation is 229 meV/atom. As for the space group: C2/m.

```
Mg2CrAg
1.0
5.059 -0.091 0.084
4.158 2.884 0.084
0.933 0.283 5.076
Cr Ag Mg
1 1 2
direct
0.250 0.250 0.250
0.750 0.750 0.750
0.496 0.496 0.502
0.004 0.004 0.998
```

=====

(12)
The following is a DFT calculation (GGA-PBE) of an optimized crystal structure of Mg2CrAg.

Results
As for the total energy: -3.630 eV per atom. The calculation puts the calculated volume at 16.8 Å³ per atom. The total magnetization comes out at 0.0761 μB per atom. Its energy of formation is 286 meV/atom. As for the space group: P4/mmm.

```
Mg2CrAg
1.0
2.804 0.000 0.000
0.000 2.804 0.000
0.000 0.000 8.561
Mg Cr Ag
2 1 1
direct
0.000 0.000 0.989
0.000 0.000 0.511
0.500 0.500 0.750
0.500 0.500 0.250
```

=====

(13)
The following is a DFT calculation (GGA-PBE) of an optimized crystal structure of Mg2CrAg.

Results
As for the total energy: -3.723 eV per atom. The calculation puts the calculated volume at 18.7 Å³ per atom. The total magnetization comes out at 1.0266 μB per atom. Its energy of formation is 193 meV/atom. As for the space group: F-43m.

```
Mg2CrAg
1.0
-1.757 0.940 4.287
1.961 -1.945 3.837
2.450 2.686 3.022
Cr Mg Ag
1 2 1
direct
0.750 0.750 0.750
0.250 0.250 0.250
0.000 0.000 0.000
0.500 0.500 0.500
```

=====

(14)
The following is a DFT calculation (GGA-PBE) of an optimized crystal structure of Mg2CrAg.

Results
As for the total energy: -3.696 eV per atom. The calculation puts the calculated volume at 19.0 Å³ per atom. The total magnetization comes out at 1.0271 μB per atom. Its energy of formation is 220 meV/atom. As for the space group: Pmm2.

```
Mg2CrAg
1.0
-0.557 1.825 2.380
1.900 -2.725 2.536
5.209 2.782 -0.914
Mg Cr Ag
2 1 1
direct
0.000 0.000 0.982
0.500 0.500 0.267
0.500 0.500 0.749
0.000 0.000 0.502
```

=====

(15)
The following is a DFT calculation (GGA-PBE) of an optimized crystal structure of MgCrAg2.

Results
As for the total energy: -4.081 eV per atom. The calculation puts the calculated volume at 17.8 Å³ per atom. The total magnetization comes out at 1.0462 μB per atom. Its energy of formation is 149 meV/atom. As for the space group: Imm2.

```
MgCrAg2
1.0
5.117 -0.506 0.365
3.892 3.360 0.365
1.422 0.451 3.823
Cr Ag Mg
1 2 1
direct
0.500 0.500 0.500
0.750 0.750 0.750
0.000 0.000 0.000
0.250 0.250 0.250
```